No. 1
Compound: ZnTc2W
Source: Alexandria via LeMat-Bulk
Functional: PBE
Structure: optimized geometry

Lattice parameters (Å, degrees): 3.0997 4.4356 8.7913 90.00 90.00 90.00
Last column: nearest neighbours and their distance in Å.
Space group Cmmm (No. 65)
Inequivalent atoms, fractional coordinates:
Zn1 0.0000 0.0000 0.0000 (multiplicity 2)  4 Tc 2.70, 4 Zn 2.71
Tc1 0.0000 0.5000 0.2521 (multiplicity 4)  2 W 2.67, 2 Zn 2.70, 4 Tc 2.71
W1 0.0000 0.0000 0.5000 (multiplicity 2)  4 Tc 2.67, 4 W 2.71

Results
- crystal system = orthorhombic
- total energy (eV/atom) = -8.61

No. 2
Compound: Zn2TcW
Source: Alexandria via LeMat-Bulk
Functional: PBE
Structure: optimized geometry

Lattice parameters (Å, degrees): 2.6526 4.3979 5.2285 90.00 103.29 90.00
Last column: nearest neighbours and their distance in Å.
Space group P2/m (No. 10)
Inequivalent atoms, fractional coordinates:
Zn1 0.2145 0.0000 0.2524 (multiplicity 2)  4 Zn 2.62-2.68, 2 Tc 2.68, 2 W 2.76
Tc1 0.0000 0.5000 0.5000 (multiplicity 1)  2 W 2.65, 2 Tc 2.65, 4 Zn 2.68
W1 0.5000 0.5000 0.0000 (multiplicity 1)  2 Tc 2.65, 2 W 2.65, 4 Zn 2.76

Results
- crystal system = monoclinic
- energy above the lowest structure with this stoichiometry (eV per atom) = 0.1117
- total energy (eV/atom) = -6.26

No. 3
Compound: ZnTc2W
Source: Alexandria via LeMat-Bulk
Functional: PBE
Structure: optimized geometry

Lattice parameters (Å, degrees): 5.5578 8.7757 2.6874 90.00 114.26 90.00
Last column: nearest neighbours and their distance in Å.
Space group C2/m (No. 12)
Inequivalent atoms, fractional coordinates:
Zn1 0.0000 0.0000 0.0000 (multiplicity 2)  4 Tc 2.65, 2 Zn 2.69, 2 W 2.78
Tc1 0.2500 0.2500 0.5000 (multiplicity 4)  2 W 2.65, 2 Zn 2.65, 4 Tc 2.69-2.78
W1 0.0000 0.5000 0.0000 (multiplicity 2)  4 Tc 2.65, 2 W 2.69, 2 Zn 2.78

Results
- crystal system = monoclinic
- total energy (eV/atom) = -8.54

No. 4
Compound: ZnTcW2
Source: Alexandria via LeMat-Bulk
Functional: PBE
Structure: optimized geometry

Lattice parameters (Å, degrees): 5.4577 8.0429 2.7819 90.00 90.00 90.00
Last column: nearest neighbours and their distance in Å.
Space group Cmmm (No. 65)
Inequivalent atoms, fractional coordinates:
Zn1 0.0000 0.0000 0.0000 (multiplicity 2)  2 Tc 2.73, 2 Zn 2.78, 8 W 2.80
Tc1 0.0000 0.5000 0.0000 (multiplicity 2)  2 Zn 2.73, 2 Tc 2.78, 8 W 2.80
W1 0.2500 0.2500 0.5000 (multiplicity 4)  4 W 2.73-2.78, 4 Tc 2.80, 4 Zn 2.80

Results
- crystal system = orthorhombic
- total energy (eV/atom) = -9.12

No. 5
Compound: ZnTc2W
Source: Alexandria via LeMat-Bulk
Functional: PBE
Structure: optimized geometry

Lattice parameters (Å, degrees): 2.7700 2.7700 27.2003 90.00 90.00 120.00
Last column: nearest neighbours and their distance in Å.
Space group R3m (No. 160, hexagonal axes)
Inequivalent atoms, fractional coordinates:
Zn1 0.0000 0.0000 0.0000 (multiplicity 3)  6 Zn 2.77, 3 Tc 2.77, 3 W 2.83
Tc1 0.0000 0.0000 0.4942 (multiplicity 3)  9 Tc 2.65-2.77, 3 W 2.84
Tc2 0.0000 0.0000 0.7500 (multiplicity 3)  9 Tc 2.65-2.77, 3 Zn 2.77
W1 0.0000 0.0000 0.2473 (multiplicity 3)  6 W 2.77, 3 Zn 2.83, 3 Tc 2.84

Results
- crystal system = trigonal
- total energy (eV/atom) = -8.60

No. 6
Compound: ZnTc2W
Source: Alexandria via LeMat-Bulk
Functional: PBE
Structure: optimized geometry

Lattice parameters (Å, degrees): 6.1989 6.1989 6.1989 90.00 90.00 90.00
Last column: nearest neighbours and their distance in Å.
Space group F-43m (No. 216)
Inequivalent atoms, fractional coordinates:
Zn1 0.0000 0.0000 0.0000 (multiplicity 4)  4 W 2.68, 4 Tc 2.68
Tc1 0.0000 0.0000 0.5000 (multiplicity 4)  4 Tc 2.68, 4 W 2.68
Tc2 0.2500 0.2500 0.7500 (multiplicity 4)  4 Tc 2.68, 4 Zn 2.68
W1 0.2500 0.2500 0.2500 (multiplicity 4)  4 Tc 2.68, 4 Zn 2.68

Results
- crystal system = cubic
- total energy (eV/atom) = -8.41

No. 7
Compound: Zn2TcW
Source: Alexandria via LeMat-Bulk
Functional: PBE
Structure: optimized geometry

Lattice parameters (Å, degrees): 2.6594 2.6594 8.3768 90.00 90.00 90.00
Last column: nearest neighbours and their distance in Å.
Space group P4/mmm (No. 123)
Inequivalent atoms, fractional coordinates:
Zn1 0.0000 0.0000 0.2463 (multiplicity 2)  4 Zn 2.66, 4 Tc 2.79, 4 W 2.84
Tc1 0.5000 0.5000 0.0000 (multiplicity 1)  4 Tc 2.66, 8 Zn 2.79
W1 0.5000 0.5000 0.5000 (multiplicity 1)  4 W 2.66, 8 Zn 2.84

Results
- crystal system = tetragonal
- energy above the lowest structure with this stoichiometry (eV per atom) = 0.1832
- total energy (eV/atom) = -6.19

No. 8
Compound: Zn2TcW
Source: Alexandria via LeMat-Bulk
Functional: PBE
Structure: optimized geometry

Lattice parameters (Å, degrees): 5.2885 8.7667 2.6513 90.00 105.21 90.00
Last column: nearest neighbours and their distance in Å.
Space group C2/m (No. 12)
Inequivalent atoms, fractional coordinates:
Zn1 0.2500 0.2500 0.0000 (multiplicity 4)  4 Zn 2.64-2.65, 2 W 2.72, 2 Tc 2.72
Tc1 0.0000 0.0000 0.5000 (multiplicity 2)  2 W 2.64, 2 Tc 2.65, 4 Zn 2.72
W1 0.0000 0.5000 0.5000 (multiplicity 2)  2 Tc 2.64, 2 W 2.65, 4 Zn 2.72

Results
- crystal system = monoclinic
- energy above the lowest structure with this stoichiometry (eV per atom) = 0.1193
- total energy (eV/atom) = -6.25

No. 9
Compound: Zn2TcW
Source: Alexandria via LeMat-Bulk
Functional: PBE
Structure: optimized geometry

Lattice parameters (Å, degrees): 3.3473 4.3305 8.0583 90.00 90.00 90.00
Last column: nearest neighbours and their distance in Å.
Space group Imm2 (No. 44)
Inequivalent atoms, fractional coordinates:
Zn1 0.0000 0.0000 0.0000 (multiplicity 2)  2 Zn 2.52, 2 Tc 2.68, 4 W 2.74
Zn2 0.0000 0.5000 0.2667 (multiplicity 2)  2 Zn 2.52, 2 W 2.69, 4 Tc 2.74
Tc1 0.0000 0.5000 0.7605 (multiplicity 2)  2 W 2.59, 6 Zn 2.68-2.74
W1 0.0000 0.0000 0.5056 (multiplicity 2)  2 Tc 2.59, 8 Zn 2.69-2.90

Results
- crystal system = orthorhombic
- energy above the lowest structure with this stoichiometry (eV per atom) = 0.0731
- total energy (eV/atom) = -6.30

No. 10
Compound: ZnTcW2
Source: Alexandria via LeMat-Bulk
Functional: PBE
Structure: optimized geometry

Lattice parameters (Å, degrees): 2.7933 2.7933 7.8996 90.00 90.00 90.00
Last column: nearest neighbours and their distance in Å.
Space group P4/mmm (No. 123)
Inequivalent atoms, fractional coordinates:
Zn1 0.0000 0.0000 0.0000 (multiplicity 1)  4 Zn 2.79, 8 W 2.82
Tc1 0.0000 0.0000 0.5000 (multiplicity 1)  8 W 2.76, 4 Tc 2.79
W1 0.5000 0.5000 0.2555 (multiplicity 2)  4 Tc 2.76, 4 W 2.79, 4 Zn 2.82

Results
- crystal system = tetragonal
- total energy (eV/atom) = -9.09

No. 11
Compound: ZnTc2W
Source: Alexandria via LeMat-Bulk
Functional: PBE
Structure: optimized geometry

Lattice parameters (Å, degrees): 3.1350 4.2904 8.8249 90.00 90.00 90.00
Last column: nearest neighbours and their distance in Å.
Space group Imm2 (No. 44)
Inequivalent atoms, fractional coordinates:
Zn1 0.0000 0.0000 0.0000 (multiplicity 2)  6 Tc 2.66-2.74, 2 W 2.78
Tc1 0.0000 0.0000 0.5004 (multiplicity 2)  2 W 2.63, 4 Zn 2.66, 2 Tc 2.67
Tc2 0.0000 0.5000 0.7551 (multiplicity 2)  4 W 2.66, 2 Tc 2.67, 2 Zn 2.74
W1 0.0000 0.5000 0.2402 (multiplicity 2)  6 Tc 2.63-2.66, 2 Zn 2.78

Results
- crystal system = orthorhombic
- total energy (eV/atom) = -8.63

No. 12
Compound: ZnTc2W
Source: Alexandria via LeMat-Bulk
Functional: PBE
Structure: optimized geometry

Lattice parameters (Å, degrees): 7.0393 7.0393 5.3747 90.00 90.00 90.00
Last column: nearest neighbours and their distance in Å.
Space group I-42d (No. 122)
Inequivalent atoms, fractional coordinates:
Zn1 0.0000 0.0000 0.0000 (multiplicity 4)  2 W 2.69, 4 Tc 2.70
Tc1 0.2258 0.2500 0.6250 (multiplicity 8)  2 W 2.46, 2 Zn 2.70, 2 Tc 2.71
W1 0.0000 0.0000 0.5000 (multiplicity 4)  4 Tc 2.46, 2 Zn 2.69

Results
- crystal system = tetragonal
- total energy (eV/atom) = -7.97

No. 13
Compound: Zn4TcW
Source: Alexandria via LeMat-Bulk
Functional: PBE
Structure: optimized geometry

Lattice parameters (Å, degrees): 6.9248 6.9248 6.9248 90.00 90.00 90.00
Last column: nearest neighbours and their distance in Å.
Space group F-43m (No. 216)
Inequivalent atoms, fractional coordinates:
Zn1 0.1249 0.1249 0.1249 (multiplicity 16)  6 Zn 2.45
Tc1 0.0000 0.0000 0.5000 (multiplicity 4)  12 Zn 2.87, 4 W 3.00
W1 0.2500 0.2500 0.7500 (multiplicity 4)  12 Zn 2.87, 4 Tc 3.00

Results
- crystal system = cubic
- total energy (eV/atom) = -4.60

No. 14
Compound: ZnTcW2
Source: Alexandria via LeMat-Bulk
Functional: PBE
Structure: optimized geometry

Lattice parameters (Å, degrees): 3.9132 3.9132 7.9794 90.00 90.00 90.00
Last column: nearest neighbours and their distance in Å.
Space group I-4m2 (No. 119)
Inequivalent atoms, fractional coordinates:
Zn1 0.0000 0.0000 0.0000 (multiplicity 2)  8 W 2.77-2.79, 4 Tc 2.79
Tc1 0.0000 0.5000 0.7500 (multiplicity 2)  8 W 2.77-2.79, 4 Zn 2.79
W1 0.0000 0.0000 0.5000 (multiplicity 2)  4 Zn 2.77, 4 W 2.79, 4 Tc 2.79
W2 0.0000 0.5000 0.2500 (multiplicity 2)  4 Tc 2.77, 4 W 2.79, 4 Zn 2.79

Results
- crystal system = tetragonal
- total energy (eV/atom) = -9.10

No. 15
Compound: Zn2TcW
Source: Alexandria via LeMat-Bulk
Functional: PBE
Structure: optimized geometry

Lattice parameters (Å, degrees): 3.2491 4.1947 8.7040 90.00 90.00 90.00
Last column: nearest neighbours and their distance in Å.
Space group Cmmm (No. 65)
Inequivalent atoms, fractional coordinates:
Zn1 0.0000 0.0000 0.2466 (multiplicity 4)  4 Zn 2.65, 2 Tc 2.69, 2 W 2.74
Tc1 0.0000 0.5000 0.0000 (multiplicity 2)  4 Tc 2.65, 4 Zn 2.69
W1 0.0000 0.5000 0.5000 (multiplicity 2)  4 W 2.65, 4 Zn 2.74

Results
- crystal system = orthorhombic
- energy above the lowest structure with this stoichiometry (eV per atom) = 0.1367
- total energy (eV/atom) = -6.23